DFT (PBE) results for an optimized crystal structure of Pm3Si4Pt2.

Structure (CIF):
```
data_Pm3Si4Pt2
_cell_length_a 11.1220
_cell_length_b 4.1431
_cell_length_c 8.3231
_cell_angle_alpha 90.00
_cell_angle_beta 100.39
_cell_angle_gamma 90.00
_space_group_name_H-M_alt 'C 1 2/m 1'
_space_group_IT_number 12
loop_
_space_group_symop_operation_xyz
'x,y,z'
'-x,-y,-z'
'-x,y,-z'
'x,-y,z'
'x+1/2,y+1/2,z'
'-x+1/2,-y+1/2,-z'
'-x+1/2,y+1/2,-z'
'x+1/2,-y+1/2,z'
loop_
_atom_site_label
_atom_site_fract_x
_atom_site_fract_y
_atom_site_fract_z
Pm1 0.0000 0.0000 0.0000
Pm2 0.1654 0.5000 0.6652
Si1 0.0530 0.0000 0.3879
Si2 0.2250 0.5000 0.0634
Pt1 0.1079 0.5000 0.2771
```

Theoretical density = 8.254 g/cm3
Calculated total energy = -6.379 eV/atom
Polymorph energy (0 for the lowest one) = 0.0 meV per atom
Formation energy from raw total energies = -906 kJ/mol of formula units